A crystal of Hf2CBr relaxed with PBEsol. Source: Alexandria, functional meta-GGA SCAN.

Cell: 5.529 5.529 10.571 Å, 90.00 90.00 90.00°
Space group I-42d (No. 122)
Unique sites:
Hf  0.165  0.250  0.125 [8 per cell]
C  0.000  0.000  0.000 [4 per cell]
Br  0.000  0.000  0.500 [4 per cell]

The calculation puts the raw formation energy at -0.2099 eV/atom. The volume is 323.1 Å³ per cell. The value obtained for the size of the total moment is 0.0 μB/f.u.

A crystal of HfCBr3 relaxed with PBEsol. Source: Alexandria, functional meta-GGA SCAN.

Cell: 5.152 5.152 5.152 Å, 90.00 90.00 90.00°
Space group Pm-3m (No. 221)
Unique sites:
Hf  0.000  0.000  0.000 [1 per cell]
C  0.500  0.500  0.500 [1 per cell]
Br  0.000  0.000  0.500 [3 per cell]

The calculation puts the raw formation energy at 0.5495 eV/atom. The volume is 136.7 Å³ per cell. The calculation puts the energy above the most stable polymorph in this dataset at 0.00 eV per formula unit. The value obtained for the size of the total moment is 2.6 μB/f.u.

A crystal of HfCBr3 relaxed with PBEsol. Source: Alexandria, functional meta-GGA SCAN.

Cell: 4.551 4.551 4.551 Å, 90.00 90.00 90.00°
Space group Pm-3m (No. 221)
Unique sites:
Hf  0.000  0.000  0.000 [1 per cell]
C  0.500  0.500  0.500 [1 per cell]
Br  0.000  0.500  0.500 [3 per cell]

The calculation puts the raw formation energy at 1.2734 eV/atom. The volume is 94.3 Å³ per cell. The calculation puts the energy above the most stable polymorph in this dataset at 3.62 eV per formula unit. The value obtained for the size of the total moment is 1.9 μB/f.u.

A crystal of Hf2ReCBr relaxed with PBEsol. Source: Alexandria, functional meta-GGA SCAN.

Cell: 5.013 5.013 4.583 Å, 90.00 90.00 90.00°
Space group P4/mmm (No. 123)
Unique sites:
Hf  0.000  0.500  0.000 [2 per cell]
Re  0.000  0.000  0.000 [1 per cell]
C  0.500  0.500  0.500 [1 per cell]
Br  0.000  0.000  0.500 [1 per cell]

The calculation puts the raw formation energy at 2.0562 eV/atom. The volume is 115.2 Å³ per cell. The value obtained for the size of the total moment is 0.7 μB/f.u.

A crystal of HfCSeBr2 relaxed with PBEsol. Source: Alexandria, functional meta-GGA SCAN.

Cell: 4.493 4.493 4.386 Å, 90.00 90.00 90.00°
Space group P4/mmm (No. 123)
Unique sites:
Hf  0.000  0.000  0.000 [1 per cell]
C  0.500  0.500  0.500 [1 per cell]
Se  0.500  0.500  0.000 [1 per cell]
Br  0.000  0.500  0.500 [2 per cell]

The calculation puts the raw formation energy at 1.0647 eV/atom. The volume is 88.5 Å³ per cell. The value obtained for the size of the total moment is 1.4 μB/f.u.

A crystal of HgCBr2 relaxed with PBEsol. Source: Alexandria, functional meta-GGA SCAN.

Cell: 6.901 6.901 6.901 Å, 90.00 90.00 90.00°
Space group Fm-3m (No. 225)
Unique sites:
Hg  0.000  0.000  0.000 [4 per cell]
C  0.000  0.000  0.500 [4 per cell]
Br  0.250  0.250  0.250 [8 per cell]

The calculation puts the raw formation energy at 1.7005 eV/atom. The volume is 328.6 Å³ per cell. The value obtained for the size of the total moment is 1.7 μB/f.u.

A crystal of Sb2CIBr relaxed with PBEsol. Source: Alexandria, functional meta-GGA SCAN.

Cell: 4.895 4.895 4.903 Å, 90.00 90.00 90.00°
Space group P4/mmm (No. 123)
Unique sites:
Sb  0.000  0.500  0.000 [2 per cell]
C  0.000  0.000  0.000 [1 per cell]
I  0.000  0.000  0.500 [1 per cell]
Br  0.500  0.500  0.500 [1 per cell]

The calculation puts the raw formation energy at 1.1001 eV/atom. The volume is 117.5 Å³ per cell. The value obtained for the size of the total moment is 0.0 μB/f.u.

A crystal of In2TcCBr relaxed with PBEsol. Source: Alexandria, functional meta-GGA SCAN.

Cell: 5.490 5.490 3.722 Å, 90.00 90.00 90.00°
Space group P4/mmm (No. 123)
Unique sites:
In  0.000  0.500  0.000 [2 per cell]
Tc  0.000  0.000  0.500 [1 per cell]
C  0.500  0.500  0.500 [1 per cell]
Br  0.500  0.500  0.000 [1 per cell]

The calculation puts the raw formation energy at 2.0730 eV/atom. The volume is 112.2 Å³ per cell. The value obtained for the size of the total moment is 3.4 μB/f.u.

A crystal of K3CBr relaxed with PBEsol. Source: Alexandria, functional meta-GGA SCAN.

Cell: 6.100 6.100 6.100 Å, 90.00 90.00 90.00°
Space group Pm-3m (No. 221)
Unique sites:
K  0.000  0.000  0.500 [3 per cell]
C  0.500  0.500  0.500 [1 per cell]
Br  0.000  0.000  0.000 [1 per cell]

The calculation puts the raw formation energy at 0.3933 eV/atom. The volume is 226.9 Å³ per cell. The value obtained for the size of the total moment is 2.2 μB/f.u.

A crystal of KCBr2 relaxed with PBEsol. Source: Alexandria, functional meta-GGA SCAN.

Cell: 7.234 7.234 7.234 Å, 90.00 90.00 90.00°
Space group Fm-3m (No. 225)
Unique sites:
K  0.000  0.000  0.000 [4 per cell]
C  0.000  0.000  0.500 [4 per cell]
Br  0.250  0.250  0.250 [8 per cell]

The calculation puts the raw formation energy at 0.8922 eV/atom. The volume is 378.5 Å³ per cell. The value obtained for the size of the total moment is 1.0 μB/f.u.

A crystal of La4C2Br5 relaxed with PBEsol. Source: Alexandria, functional meta-GGA SCAN.

Cell: 3.959 8.211 18.020 Å, 90.00 90.00 90.00°
Space group Immm (No. 71)
Unique sites:
La  0.000  0.000  0.167 [4 per cell]
La  0.000  0.295  0.500 [4 per cell]
C  0.000  0.000  0.039 [4 per cell]
Br  0.000  0.221  0.334 [8 per cell]
Br  0.000  0.500  0.000 [2 per cell]

The calculation puts the raw formation energy at -1.6636 eV/atom. The volume is 585.7 Å³ per cell. The value obtained for the size of the total moment is 0.0 μB/f.u.

A crystal of La3CBr5 relaxed with PBEsol. Source: Alexandria, functional meta-GGA SCAN.

Cell: 14.126 10.767 14.413 Å, 90.00 106.71 90.00°
Space group C2/c (No. 15)
Unique sites:
La  0.139  0.022  0.406 [8 per cell]
La  0.148  0.361  0.175 [8 per cell]
La  0.151  0.333  0.912 [8 per cell]
C  0.246  0.142  0.921 [8 per cell]
Br  0.000  0.143  0.750 [4 per cell]
Br  0.000  0.196  0.250 [4 per cell]
Br  0.000  0.479  0.750 [4 per cell]
Br  0.000  0.500  0.000 [4 per cell]
Br  0.041  0.159  0.020 [8 per cell]
Br  0.229  0.392  0.407 [8 per cell]
Br  0.240  0.377  0.728 [8 per cell]

The calculation puts the raw formation energy at -1.8773 eV/atom. The volume is 2099.6 Å³ per cell. The value obtained for the size of the total moment is 0.0 μB/f.u.